1.
Density functional theory data (GGA-PBEsol) for a geometry-optimized Sr3V2O7 structure.

It has space group I4/mmm (No. 139), with a = 3.8006 Å, b = 3.8006 Å, c = 20.1442 Å, α = 90.00°, β = 90.00° and γ = 90.00°. The asymmetric unit holds Sr at (0.0000, 0.0000, 0.0000), Sr at (0.0000, 0.0000, 0.1846), V at (0.0000, 0.0000, 0.4049), O at (0.0000, 0.0000, 0.3074), O at (0.0000, 0.0000, 0.5000) and O at (0.0000, 0.5000, 0.0950).

For the calculated density, the calculation gives 5.441 g/cm3. Its formation energy from raw total energies is -2835 meV per atom. The value obtained for the density of states at the Fermi level is 0.28 states/eV per atom. For the raw total energy, the calculation gives -7.962 eV per atom.

=====

2.
Density functional theory data (GGA-PBEsol) for a geometry-optimized SrCa3 structure.

It has space group C2/m (No. 12), with a = 13.0465 Å, b = 3.9459 Å, c = 6.8007 Å, α = 90.00°, β = 100.29° and γ = 90.00°. The asymmetric unit holds Sr at (0.0000, 0.0000, 0.0000), Ca at (0.0000, 0.5000, 0.5000) and Ca at (0.2468, 0.0000, 0.7443).

For the calculated density, the calculation gives 2.004 g/cm3. The value obtained for the density of states at the Fermi level is 1.30 states/eV per atom. The energy above the lowest structure with this stoichiometry is 0.004 eV per atom. The calculated formation energy is 0.014 eV per atom. For the raw total energy, the calculation gives -2.046 eV per atom.

=====

3.
Density functional theory data (GGA-PBEsol) for a geometry-optimized ReNi2Pt structure.

It has space group P4/mmm (No. 123), with a = 2.6401 Å, b = 2.6401 Å, c = 7.2276 Å, α = 90.00°, β = 90.00° and γ = 90.00°. The asymmetric unit holds Re at (0.0000, 0.0000, 0.0000), Ni at (0.5000, 0.5000, 0.2431) and Pt at (0.0000, 0.0000, 0.5000).

For the calculated density, the calculation gives 16.438 g/cm3. The value obtained for the density of states at the Fermi level is 0.88 states/eV per atom. The energy above the lowest structure with this stoichiometry is 0.000 eV per atom. The calculated formation energy is -0.074 eV per atom. For the raw total energy, the calculation gives -8.226 eV per atom.

=====

4.
Density functional theory data (GGA-PBEsol) for a geometry-optimized MnAgAu2 structure.

It has space group P4/mmm (No. 123), with a = 4.1669 Å, b = 4.1669 Å, c = 3.7583 Å, α = 90.00°, β = 90.00° and γ = 90.00°. The asymmetric unit holds Mn at (0.0000, 0.0000, 0.0000), Ag at (0.5000, 0.5000, 0.0000) and Au at (0.0000, 0.5000, 0.5000).

For the calculated density, the calculation gives 14.167 g/cm3. The value obtained for the density of states at the Fermi level is 0.51 states/eV per atom. The calculated formation energy is 0.075 eV per atom. For the raw total energy, the calculation gives -5.155 eV per atom.

=====

5.
Density functional theory data (GGA-PBEsol) for a geometry-optimized ZrTcNi2 structure.

It has space group Cm (No. 8), with a = 9.5540 Å, b = 2.7141 Å, c = 4.5707 Å, α = 90.00°, β = 113.18° and γ = 90.00°. The asymmetric unit holds Zr at (0.0000, 0.0000, 0.0000), Tc at (0.2255, 0.0000, 0.5985), Ni at (0.2581, 0.5000, 0.1378) and Ni at (0.4800, 0.0000, 0.4909).

For the calculated density, the calculation gives 9.346 g/cm3. The value obtained for the density of states at the Fermi level is 0.90 states/eV per atom. The calculated formation energy is -0.085 eV per atom. For the raw total energy, the calculation gives -8.253 eV per atom.

=====

6.
Density functional theory data (GGA-PBEsol) for a geometry-optimized Ce3SiPd5 structure.

It has space group Imma (No. 74), with a = 7.1940 Å, b = 12.8794 Å, c = 7.3767 Å, α = 90.00°, β = 90.00° and γ = 90.00°. The asymmetric unit holds Ce at (0.0000, 0.0491, 0.2230), Ce at (0.0000, 0.2500, 0.8749), Si at (0.0000, 0.2500, 0.4709), Pd at (0.2018, 0.1041, 0.5633) and Pd at (0.2500, 0.2500, 0.2500).

For the calculated density, the calculation gives 9.529 g/cm3. Its formation energy from raw total energies is -776 meV per atom. The value obtained for the density of states at the Fermi level is 1.69 states/eV per atom. For the raw total energy, the calculation gives -6.923 eV per atom.

=====

7.
Density functional theory data (GGA-PBEsol) for a geometry-optimized Mg2TiSe structure.

It has space group I-42d (No. 122), with a = 7.9080 Å, b = 7.9080 Å, c = 5.2190 Å, α = 90.00°, β = 90.00° and γ = 90.00°. The asymmetric unit holds Mg at (0.2025, 0.7500, 0.1250), Ti at (0.0000, 0.0000, 0.5000) and Se at (0.0000, 0.0000, 0.0000).

For the calculated density, the calculation gives 3.570 g/cm3. Its formation energy from raw total energies is -77 meV per atom. The value obtained for the density of states at the Fermi level is 0.67 states/eV per atom. For the raw total energy, the calculation gives -3.979 eV per atom.

=====

8.
Density functional theory data (GGA-PBEsol) for a geometry-optimized CdOs structure.

It has space group Pm-3m (No. 221), with a = 3.1883 Å, b = 3.1883 Å, c = 3.1883 Å, α = 90.00°, β = 90.00° and γ = 90.00°. The asymmetric unit holds Cd at (0.0000, 0.0000, 0.0000) and Os at (0.5000, 0.5000, 0.5000).

For the calculated density, the calculation gives 15.506 g/cm3. The value obtained for the density of states at the Fermi level is 1.11 states/eV per atom. The calculated formation energy is 1.045 eV per atom. For the raw total energy, the calculation gives -5.662 eV per atom.

=====

9.
Density functional theory data (GGA-PBEsol) for a geometry-optimized CaTlTe2Se structure.

It has space group P4/mmm (No. 123), with a = 5.7778 Å, b = 5.7778 Å, c = 5.3866 Å, α = 90.00°, β = 90.00° and γ = 90.00°. The asymmetric unit holds Ca at (0.0000, 0.0000, 0.0000), Tl at (0.5000, 0.5000, 0.5000), Te at (0.0000, 0.5000, 0.0000) and Se at (0.0000, 0.0000, 0.5000).

For the calculated density, the calculation gives 5.343 g/cm3. Its formation energy from raw total energies is -144 meV per atom. The value obtained for the density of states at the Fermi level is 1.38 states/eV per atom. For the raw total energy, the calculation gives -3.277 eV per atom.

=====

10.
Density functional theory data (GGA-PBEsol) for a geometry-optimized PHPb2 structure.

It has space group I-42d (No. 122), with a = 5.8254 Å, b = 5.8254 Å, c = 11.2894 Å, α = 90.00°, β = 90.00° and γ = 90.00°. The asymmetric unit holds P at (0.0000, 0.0000, 0.0000), H at (0.0000, 0.0000, 0.5000) and Pb at (0.1860, 0.2500, 0.6250).

For the calculated density, the calculation gives 7.739 g/cm3. The value obtained for the density of states at the Fermi level is 0.30 states/eV per atom. For the raw total energy, the calculation gives -3.934 eV per atom.

=====

11.
Density functional theory data (GGA-PBEsol) for a geometry-optimized HfCoAsBr2 structure.

It has space group P4/mmm (No. 123), with a = 5.0642 Å, b = 5.0642 Å, c = 5.2753 Å, α = 90.00°, β = 90.00° and γ = 90.00°. The asymmetric unit holds Hf at (0.0000, 0.0000, 0.0000), Co at (0.5000, 0.5000, 0.5000), As at (0.0000, 0.0000, 0.5000) and Br at (0.0000, 0.5000, 0.0000).

For the calculated density, the calculation gives 5.795 g/cm3. Its formation energy from raw total energies is 430 meV per atom. The value obtained for the density of states at the Fermi level is 1.27 states/eV per atom. For the raw total energy, the calculation gives -4.987 eV per atom.

=====

12.
Density functional theory data (GGA-PBEsol) for a geometry-optimized Ag2Br structure.

It has space group Fm-3m (No. 225), with a = 6.5239 Å, b = 6.5239 Å, c = 6.5239 Å, α = 90.00°, β = 90.00° and γ = 90.00°. The asymmetric unit holds Ag at (0.2500, 0.2500, 0.2500) and Br at (0.0000, 0.0000, 0.0000).

For the calculated density, the calculation gives 7.072 g/cm3. Its formation energy from raw total energies is 312 meV per atom. The value obtained for the density of states at the Fermi level is 0.29 states/eV per atom. The energy above the lowest structure with this stoichiometry is 0.448 eV per atom. For the raw total energy, the calculation gives -2.519 eV per atom.

=====

13.
Density functional theory data (GGA-PBEsol) for a geometry-optimized AlOs2Pt structure.

It has space group Cm (No. 8), with a = 8.9143 Å, b = 2.7673 Å, c = 4.6812 Å, α = 90.00°, β = 99.61° and γ = 90.00°. The asymmetric unit holds Al at (0.0000, 0.0000, 0.0000), Os at (0.0042, 0.5000, 0.5111), Os at (0.2474, 0.0000, 0.7018) and Pt at (0.2493, 0.5000, 0.2062).

For the calculated density, the calculation gives 17.575 g/cm3. The value obtained for the density of states at the Fermi level is 0.91 states/eV per atom. The calculated formation energy is -0.153 eV per atom. For the raw total energy, the calculation gives -9.025 eV per atom.

=====

14.
Density functional theory data (GGA-PBEsol) for a geometry-optimized BeCN2 structure.

It has space group R-3m (No. 166, hexagonal axes), with a = 2.8929 Å, b = 2.8929 Å, c = 13.2823 Å, α = 90.00°, β = 90.00° and γ = 120.00°. The asymmetric unit holds Be at (0.0000, 0.0000, 0.0000), C at (0.0000, 0.0000, 0.5000) and N at (0.0000, 0.0000, 0.4075).

For the calculated density, the calculation gives 2.538 g/cm3. Its formation energy from raw total energies is -290 meV per atom. The value obtained for the density of states at the Fermi level is 0.00 states/eV per atom. For the raw total energy, the calculation gives -7.964 eV per atom.